VASP calculation (PBE) on crystalline U2Ga8Ni at its relaxed geometry.

a = 4.256 Å, b = 4.256 Å, c = 11.085 Å
α = 90.00°, β = 90.00°, γ = 90.00°
Positions (direct):
U1 0.000 0.000 0.192
U2 0.000 0.000 0.808
Ga1 0.000 0.500 0.000
Ga2 0.000 0.500 0.380
Ga3 0.000 0.500 0.620
Ga4 0.500 0.000 0.000
Ga5 0.500 0.000 0.380
Ga6 0.500 0.000 0.620
Ga7 0.500 0.500 0.194
Ga8 0.500 0.500 0.806
Ni1 0.000 0.000 0.500

Properties
space group	No. 123
ΔH_f (0 K)	-0.2945	eV per atom
volume	201	Å³ per cell
crystal system	tetragonal


VASP calculation (PBE) on crystalline Ce7Si2Pt2 at its relaxed geometry.

a = 6.640 Å, b = 6.640 Å, c = 6.738 Å
α = 90.00°, β = 90.00°, γ = 106.04°
Positions (direct):
Ce1 0.000 0.000 0.000
Ce2 0.000 0.500 0.297
Ce3 0.000 0.500 0.703
Ce4 0.500 0.000 0.297
Ce5 0.500 0.000 0.703
Ce6 0.500 0.500 0.297
Ce7 0.500 0.500 0.703
Si1 0.152 0.152 0.500
Si2 0.848 0.848 0.500
Pt1 0.287 0.713 0.000
Pt2 0.713 0.287 0.000

Properties
energy relative to the elements, uncorrected	-489	meV/atom
space group	No. 65
volume	285	Å³ per cell
crystal system	orthorhombic


VASP calculation (PBE) on crystalline Mn4FeOs at its relaxed geometry.

a = 4.783 Å, b = 4.783 Å, c = 5.760 Å
α = 107.55°, β = 107.55°, γ = 34.81°
Positions (direct):
Mn1 0.165 0.165 0.344
Mn2 0.174 0.174 0.828
Mn3 0.826 0.826 0.172
Mn4 0.835 0.835 0.656
Fe1 0.500 0.500 0.500
Os1 0.500 0.500 0.000

Properties
offset from the most stable computed form	0.044	eV/atom
space group	No. 12
ΔH_f (0 K)	0.1445	eV per atom
volume	71	Å³ per cell
crystal system	monoclinic


VASP calculation (PBE) on crystalline Y3RuRh at its relaxed geometry.

a = 5.194 Å, b = 5.194 Å, c = 5.194 Å
α = 90.00°, β = 90.00°, γ = 90.00°
Positions (direct):
Y1 0.000 0.000 0.500
Y2 0.000 0.500 0.000
Y3 0.500 0.000 0.000
Ru1 0.000 0.000 0.000
Rh1 0.500 0.500 0.500

Properties
offset from the most stable computed form	0.608	eV/atom
space group	No. 221
ΔH_f (0 K)	0.1214	eV per atom
volume	140	Å³ per cell
crystal system	cubic


> Which of these has the highest volume?

Ce7Si2Pt2